Entry 1
Material: MoOsRu2
Method: DFT, PBE
State: relaxed

Values from the calculation:
Total moment (μB/atom): 0.00
DOS(E_F) (states/eV per cell): 3.928
SG: Cm (8)

a b c (Å): 4.744 4.744 4.739
angles (deg): 80.48 80.48 33.54
Element x y z (fractional)
Ru (0.999, 0.999, 0.007)
Ru (0.749, 0.749, 0.752)
Mo (0.500, 0.500, 0.505)
Os (0.253, 0.253, 0.237)



Entry 2
Material: MoOsRu2
Method: DFT, PBE
State: relaxed

Values from the calculation:
Total moment (μB/atom): 0.00
DOS(E_F) (states/eV per cell): 3.793
SG: Pmm2 (25)

a b c (Å): 2.738 3.845 5.528
angles (deg): 90.00 90.00 90.00
Element x y z (fractional)
Os (0.500, 0.500, 0.763)
Ru (0.500, 0.500, 0.244)
Ru (0.000, 0.000, 0.993)
Mo (0.000, 0.000, 0.499)



The winner here is entry 1, beating the second structure by 0.009 eV/atom.



Entry 1
Material: MoOsRu2
Method: DFT, PBE
State: relaxed

Values from the calculation:
Total moment (μB/atom): 0.00
DOS(E_F) (states/eV per cell): 3.198
SG: C2 (5)

a b c (Å): 4.750 4.750 4.742
angles (deg): 131.98 131.98 70.22
Element x y z (fractional)
Ru (0.000, 0.000, 0.000)
Ru (0.250, 0.750, 0.500)
Os (0.750, 0.250, 0.500)
Mo (0.500, 0.500, 0.000)



Entry 2
Material: MoOsRu2
Method: DFT, PBE
State: relaxed

Values from the calculation:
Total moment (μB/atom): 0.00
DOS(E_F) (states/eV per cell): 3.755
SG: P4mm (99)

a b c (Å): 2.743 2.743 7.727
angles (deg): 90.00 90.00 90.00
Element x y z (fractional)
Os (0.500, 0.500, 0.759)
Ru (0.500, 0.500, 0.246)
Ru (0.000, 0.000, 0.998)
Mo (0.000, 0.000, 0.497)



The winner here is entry 1, beating the second structure by 0.064 eV/atom.



Entry 1
Material: MoOs4Ru
Method: DFT, PBE
State: relaxed

Values from the calculation:
Total moment (μB/atom): 0.00
DOS(E_F) (states/eV per cell): 7.981
SG: P2/c (13)

a b c (Å): 9.179 5.159 4.789
angles (deg): 90.00 90.00 49.89
Element x y z (fractional)
Os (0.169, 0.917, 0.080)
Os (0.666, 0.419, 0.413)
Os (0.334, 0.081, 0.413)
Os (0.666, 0.919, 0.587)
Os (0.831, 0.583, 0.080)
Os (0.169, 0.417, 0.920)
Os (0.334, 0.581, 0.587)
Os (0.831, 0.083, 0.920)
Ru (0.500, 0.750, 0.919)
Ru (0.500, 0.250, 0.081)
Mo (0.000, 0.750, 0.415)
Mo (0.000, 0.250, 0.585)



Entry 2
Material: MoOs4Ru
Method: DFT, PBE
State: relaxed

Values from the calculation:
Total moment (μB/atom): 0.00
DOS(E_F) (states/eV per cell): 11.248
SG: F-43m (216)

a b c (Å): 5.087 5.087 5.087
angles (deg): 60.00 60.00 60.00
Element x y z (fractional)
Os (0.625, 0.126, 0.625)
Os (0.625, 0.625, 0.625)
Os (0.126, 0.625, 0.625)
Os (0.625, 0.625, 0.126)
Ru (0.250, 0.250, 0.250)
Mo (0.000, 0.000, 0.000)



The winner here is entry 1, beating the second structure by 0.587 eV/atom.



Entry 1
Material: MoOs3Ru
Method: DFT, PBE
State: relaxed

Values from the calculation:
Total moment (μB/atom): 0.57
DOS(E_F) (states/eV per cell): 8.786
SG: Pm-3m (221)

a b c (Å): 4.631 4.631 4.631
angles (deg): 90.00 90.00 90.00
Element x y z (fractional)
Os (0.500, 0.000, 0.000)
Os (0.000, 0.000, 0.500)
Os (0.000, 0.500, 0.000)
Mo (0.000, 0.000, 0.000)
Ru (0.500, 0.500, 0.500)



Entry 2
Material: MoOs3Ru
Method: DFT, PBE
State: relaxed

Values from the calculation:
Total moment (μB/atom): 0.00
DOS(E_F) (states/eV per cell): 7.933
SG: P-1 (2)

a b c (Å): 5.145 8.625 5.231
angles (deg): 87.51 120.78 58.60
Element x y z (fractional)
Os (0.494, 0.557, 0.450)
Os (0.204, 0.335, 0.117)
Os (0.201, 0.351, 0.587)
Os (0.785, 0.951, 0.897)
Os (0.782, 0.967, 0.367)
Os (0.492, 0.744, 0.034)
Mo (0.288, 0.953, 0.382)
Mo (0.698, 0.349, 0.102)
Ru (0.993, 0.651, 0.742)
Ru (0.993, 0.151, 0.742)



Entry 3
Material: MoOs3Ru
Method: DFT, PBE
State: relaxed

Values from the calculation:
Total moment (μB/atom): 0.52
DOS(E_F) (states/eV per cell): 7.871
SG: Pm-3m (221)

a b c (Å): 4.612 4.612 4.612
angles (deg): 90.00 90.00 90.00
Element x y z (fractional)
Os (0.000, 0.000, 0.500)
Os (0.500, 0.000, 0.000)
Os (0.000, 0.500, 0.000)
Ru (0.000, 0.000, 0.000)
Mo (0.500, 0.500, 0.500)



The winner here is entry 2, beating the second structure by 1.958 eV/atom.